Material: Ca2TaIn
Method: DFT, PBE
State: optimized geometry

The structure belongs to space group C2/m (No. 12); the cell edges are 11.3142, 3.2994 and 5.6093 Å and the angles 90.00°, 103.50° and 90.00°. The distinct sites, in fractional coordinates, are Ca at (0.2490, 0.0000, 0.2419), Ta at (0.0000, 0.5000, 0.0000) and In at (0.0000, 0.0000, 0.5000).

The value obtained for the formation energy is 0.4511 eV/atom. The value obtained for the total energy is -33.58 eV per cell. As for the calculated volume: 25.45 Å³ per atom.